(1)
Computed, not measured: a geometry-optimized MnInI structure at the PBE-GGA level of DFT.

Geometry as CIF:
```
data_MnInI
_symmetry_space_group_name_H-M 'P 1'
_symmetry_Int_Tables_number 1
_cell_length_a 3.838
_cell_length_b 7.038
_cell_length_c 7.061
_cell_angle_alpha 83.86
_cell_angle_beta 74.35
_cell_angle_gamma 74.31
loop_
_symmetry_equiv_pos_as_xyz
'x,y,z'
loop_
_atom_site_label
_atom_site_type_symbol
_atom_site_fract_x
_atom_site_fract_y
_atom_site_fract_z
Mn1 Mn 0.000 0.000 0.000
Mn2 Mn 0.420 0.890 0.269
In1 In 0.470 0.245 0.816
In2 In 0.723 0.193 0.363
I1 I 0.107 0.608 0.174
I2 I 0.276 0.797 0.657
```

Values from the calculation:
The formation energy (no corrections) comes out at 0.18 eV per atom. Its uncorrected energy is -12.9 eV per formula unit.



(2)
Computed, not measured: a geometry-optimized MnInI6 structure at the PBE-GGA level of DFT.

Geometry as CIF:
```
data_MnInI6
_symmetry_space_group_name_H-M 'R -3'
_symmetry_Int_Tables_number 148
_symmetry_space_group_name_Hall '-R 3'
_cell_length_a 7.2765
_cell_length_b 7.2765
_cell_length_c 19.4907
_cell_angle_alpha 90.00
_cell_angle_beta 90.00
_cell_angle_gamma 120.00
loop_
_atom_site_label
_atom_site_type_symbol
_atom_site_fract_x
_atom_site_fract_y
_atom_site_fract_z
Mn1 Mn 0.0000 0.0000 0.0000
In1 In 0.0000 0.0000 0.5000
I1 I 0.0015 0.3178 0.0805
```

Values from the calculation:
Its excess energy over the best structure of this formula in the dataset is 0.027 eV per atom. The formation energy (no corrections) comes out at -0.29 eV per atom. Its uncorrected energy is -23.5 eV per formula unit.



(3)
Computed, not measured: a geometry-optimized MnIn6I12 structure at the PBE-GGA level of DFT.

Geometry as CIF:
```
data_MnIn6I12
_symmetry_space_group_name_H-M 'P -1'
_symmetry_Int_Tables_number 2
_cell_length_a 9.066
_cell_length_b 9.978
_cell_length_c 11.053
_cell_angle_alpha 86.82
_cell_angle_beta 80.03
_cell_angle_gamma 83.00
loop_
_symmetry_equiv_pos_as_xyz
'x,y,z'
'-x,-y,-z'
loop_
_atom_site_label
_atom_site_type_symbol
_atom_site_fract_x
_atom_site_fract_y
_atom_site_fract_z
Mn1 Mn 0.000 0.000 0.000
In1 In 0.101 0.505 0.770
In2 In 0.294 0.090 0.537
In3 In 0.401 0.280 0.067
I1 I 0.020 0.290 0.002
I2 I 0.075 0.983 0.702
I3 I 0.202 0.328 0.427
I4 I 0.291 0.954 0.030
I5 I 0.436 0.889 0.364
I6 I 0.437 0.460 0.810
```

Values from the calculation:
The formation energy (no corrections) comes out at -0.40 eV per atom. Its uncorrected energy is -51.9 eV per formula unit.



(4)
Computed, not measured: a geometry-optimized MnIn3I6 structure at the PBE-GGA level of DFT.

Geometry as CIF:
```
data_MnIn3I6
_symmetry_space_group_name_H-M 'R -3'
_symmetry_Int_Tables_number 148
_symmetry_space_group_name_Hall '-R 3'
_cell_length_a 13.7696
_cell_length_b 13.7696
_cell_length_c 15.3937
_cell_angle_alpha 90.00
_cell_angle_beta 90.00
_cell_angle_gamma 120.00
loop_
_atom_site_label
_atom_site_type_symbol
_atom_site_fract_x
_atom_site_fract_y
_atom_site_fract_z
Mn1 Mn 0.0000 0.0000 0.0000
Mn2 Mn 0.0000 0.0000 0.5000
In1 In 0.0515 0.7759 0.1938
I1 I 0.0254 0.8440 0.3948
I2 I 0.0280 0.8464 0.8918
```

Values from the calculation:
Its excess energy over the best structure of this formula in the dataset is 0.015 eV per atom. The formation energy (no corrections) comes out at -0.40 eV per atom. Its uncorrected energy is -30.7 eV per formula unit.